No. 1
The following is a PBEsol calculation of an optimized crystal structure of TcTeAu2, from Alexandria via LeMat-Bulk.

Calculated values
Symmetry: No. 47

Cell: 3.2437 4.4055 4.9581 Å, 90.00 90.00 90.00°
Sites, in units of the cell vectors:
Te (0.0000, 0.5000, 0.5000)
Au (0.5000, 0.5000, 0.0000)
Au (0.0000, 0.0000, 0.0000)
Tc (0.5000, 0.0000, 0.5000)



No. 2
The following is a PBEsol calculation of an optimized crystal structure of TlSb2Ir, from Alexandria via LeMat-Bulk.

Calculated values
Symmetry: No. 44
Energy above the lowest structure with this stoichiometry, eV per atom: 0.0000

Cell: 3.1099 3.4543 9.4612 Å, 100.52 99.46 90.00°
Sites, in units of the cell vectors:
Ir (0.1984, 0.6984, 0.3968)
Sb (0.7745, 0.2745, 0.5491)
Sb (0.0881, 0.0881, 0.1762)
Tl (0.4390, 0.4390, 0.8779)



No. 3
The following is a PBEsol calculation of an optimized crystal structure of PuTe3, from Alexandria via LeMat-Bulk.

Calculated values
Symmetry: No. 63

Cell: 4.3002 4.3040 12.5374 Å, 90.00 99.87 90.00°
Each line ends with the local moment (μB).
Sites, in units of the cell vectors:
Pu (0.1700, 0.2500, 0.3400)  5.03
Te (0.2976, 0.2500, 0.5953)  -0.15
Te (0.5736, 0.2500, 0.1472)  -0.06
Te (0.7024, 0.7500, 0.4047)  -0.15
Pu (0.8300, 0.7500, 0.6600)  5.03
Te (0.0733, 0.7500, 0.1467)  -0.06
Te (0.4264, 0.7500, 0.8528)  -0.06
Te (0.9267, 0.2500, 0.8533)  -0.06



no.,E_form (uncorrected) (eV per atom)
1,0.47
2,0.02
3,-0.59